No. 1
The following is a PBE calculation of crystalline SrSe3Br at its relaxed geometry, from the Alexandria database.

The structure in POSCAR format:
```
SrSe3Br
1.0
6.044 0.000 0.000
0.000 6.044 0.000
0.000 0.000 6.044
Sr Se Br
1 3 1
Cartesian
0.000 0.000 0.000
0.000 0.000 3.022
0.000 3.022 0.000
3.022 0.000 0.000
3.022 3.022 3.022
```

Summary:
total magnetic moment = 5.0 μB/f.u.
calculated volume = 220.8 Å³/cell
SG = No. 221
uncorrected formation energy = 198.3 meV/atom

=====

No. 2
The following is a PBE calculation of crystalline Ca4YSe at its relaxed geometry, from the Alexandria database.

The structure in POSCAR format:
```
Ca4YSe
1.0
0.000 4.804 4.804
4.804 0.000 4.804
4.804 4.804 0.000
Ca Y Se
4 1 1
Cartesian
3.613 3.613 3.613
5.995 5.995 3.613
5.995 3.613 5.995
3.613 5.995 5.995
7.206 7.206 7.206
0.000 0.000 0.000
```

Summary:
total magnetic moment = 0.8 μB/f.u.
calculated volume = 221.8 Å³/cell
SG = No. 216
uncorrected formation energy = 183.4 meV/atom